ZnAgPb2 (GGA-PBEsol, optimized geometry); density = 10.8 g/cm³; energy relative to the elements = 15.65 kJ per mole of atoms; space group = P4/mmm (123); total energy = -12.242 eV for the cell shown; volume = 22.6 Å³ per atom
1.0
3.558 0.000 0.000
0.000 3.558 0.000
0.000 0.000 7.133
Zn Ag Pb
1 1 2
Direct
0.000 0.000 0.000 Zn
0.000 0.000 0.500 Ag
0.500 0.500 0.249 Pb
0.500 0.500 0.751 Pb